## CdW3F (GGA+U)

Data for a geometry-optimized CdW3F structure.

The space group is Pm-3m (No. 221) and the conventional cell measures 5.3691, 5.3691 and 5.3691 Å, with angles of 90.00, 90.00 and 90.00 degrees. Symmetry generates all atoms from Cd at (0.0000, 0.0000, 0.0000), W at (0.0000, 0.0000, 0.5000) and F at (0.5000, 0.5000, 0.5000).

As for the energy above the most stable polymorph in this dataset: 4.06 eV/f.u.